{"formula": "SrBe2P", "functional": "SCAN", "state": "PBEsol geometry", "cell": [[3.727, 0.000, 0.000], [1.864, 4.589, 0.035], [1.864, 0.566, 4.554]], "species": ["Be", "Be", "Sr", "P"], "fractional_positions": [[0.101, 0.899, 0.899], [0.753, 0.747, 0.747], [0.245, 0.255, 0.255], [0.400, 0.600, 0.600]], "final_energy_ha_per_atom": -0.3839, "crystal_system": "orthorhombic", "magnetic_moment_mub_per_fu": 0.00, "delta_e_f_mev_per_atom": -102}